{
  "formula": "HoFe7B3",
  "functional": "PBE",
  "state": "relaxed",
  "m_tot_mub_per_cell": 25.2,
  "formation_enthalpy_0k_mev_per_atom": -116,
  "spacegroup": "R-3c, No. 167",
  "cell": [[3.335, 1.926, 6.160], [-3.335, 1.926, 6.160], [0.000, -3.851, 6.160]],
  "species": ["Ho", "Ho", "Fe", "Fe", "Fe", "Fe", "Fe", "Fe", "Fe", "Fe", "Fe", "Fe", "Fe", "Fe", "Fe", "Fe", "B", "B", "B", "B", "B", "B"],
  "frac_coords": [[0.000, 0.000, 0.000], [0.500, 0.500, 0.500], [0.082, 0.851, 0.651], [0.149, 0.349, 0.918], [0.151, 0.351, 0.582], [0.250, 0.250, 0.250], [0.349, 0.918, 0.149], [0.351, 0.582, 0.151], [0.418, 0.849, 0.649], [0.582, 0.151, 0.351], [0.649, 0.418, 0.849], [0.651, 0.082, 0.851], [0.750, 0.750, 0.750], [0.849, 0.649, 0.418], [0.851, 0.651, 0.082], [0.918, 0.149, 0.349], [0.077, 0.750, 0.423], [0.250, 0.577, 0.923], [0.423, 0.077, 0.750], [0.577, 0.923, 0.250], [0.750, 0.423, 0.077], [0.923, 0.250, 0.577]]
}

=====

{
  "formula": "HoFeB4",
  "functional": "PBE",
  "state": "relaxed",
  "m_tot_mub_per_cell": 0.0,
  "formation_enthalpy_0k_mev_per_atom": -626,
  "spacegroup": "Pbam, No. 55",
  "cell": [[5.877, 0.000, 0.000], [0.000, 11.369, 0.000], [0.000, 0.000, 3.364]],
  "species": ["Ho", "Ho", "Ho", "Ho", "Fe", "Fe", "Fe", "Fe", "B", "B", "B", "B", "B", "B", "B", "B", "B", "B", "B", "B", "B", "B", "B", "B"],
  "frac_coords": [[0.127, 0.150, 0.000], [0.373, 0.650, 0.000], [0.627, 0.350, 0.000], [0.873, 0.850, 0.000], [0.133, 0.411, 0.000], [0.367, 0.911, 0.000], [0.633, 0.089, 0.000], [0.867, 0.589, 0.000], [0.025, 0.691, 0.500], [0.111, 0.546, 0.500], [0.139, 0.968, 0.500], [0.218, 0.816, 0.500], [0.282, 0.316, 0.500], [0.361, 0.468, 0.500], [0.389, 0.046, 0.500], [0.475, 0.191, 0.500], [0.525, 0.809, 0.500], [0.611, 0.954, 0.500], [0.639, 0.532, 0.500], [0.718, 0.684, 0.500], [0.782, 0.184, 0.500], [0.861, 0.032, 0.500], [0.889, 0.454, 0.500], [0.975, 0.309, 0.500]]
}